This record from Alexandria via LeMat-Bulk describes an optimized crystal structure of Pu2AgHg4. The functional is GGA-PBE. Values from VASP.

Properties
Energy of formation from the pure elements in eV per formula unit: -0.2
E above lowest polymorph in kJ/mol of atoms: 0.0
DFT total energy in eV per atom: -4.707

```
&SYSTEM
  ibrav = 0, nat = 7, ntyp = 3
/
ATOMIC_SPECIES
Hg 200.59 Hg.upf
Ag 107.87 Ag.upf
Pu 244.00 Pu.upf
CELL_PARAMETERS angstrom
5.039 0.024 1.543
2.273 4.495 1.554
0.344 0.196 7.905
ATOMIC_POSITIONS angstrom
Hg 6.471 3.993 5.818
Hg 1.185 0.722 5.184
Hg 4.260 2.629 4.032
Hg 3.396 2.086 6.969
Ag 0.000 0.000 0.000
Pu 5.566 3.425 8.858
Pu 2.090 1.290 2.144
```



This record from Alexandria via LeMat-Bulk describes an optimized crystal structure of CoCuTe2N. The functional is GGA-PBE. Values from VASP.

Properties
E above lowest polymorph in kJ/mol of atoms: 62.6
E_form (uncorrected) in meV/atom: 1050
DFT total energy in eV per atom: -4.112

```
&SYSTEM
  ibrav = 0, nat = 5, ntyp = 4
/
ATOMIC_SPECIES
Te 127.60 Te.upf
Co 58.93 Co.upf
Cu 63.55 Cu.upf
N 14.01 N.upf
CELL_PARAMETERS angstrom
5.295 0.000 0.000
0.000 5.295 0.000
0.000 0.000 3.467
ATOMIC_POSITIONS angstrom
Te 0.000 2.648 0.000
Te 2.648 0.000 0.000
Co 2.648 2.648 1.733
Cu 0.000 0.000 0.000
N 0.000 0.000 1.733
```



This record from Alexandria via LeMat-Bulk describes an optimized crystal structure of Dy2Er3Tm2. The functional is GGA-PBE. Values from VASP.

Properties
Energy of formation from the pure elements in eV per formula unit: 0.2
DFT total energy in eV per atom: -4.525

```
&SYSTEM
  ibrav = 0, nat = 7, ntyp = 3
/
ATOMIC_SPECIES
Dy 162.50 Dy.upf
Er 167.26 Er.upf
Tm 168.93 Tm.upf
CELL_PARAMETERS angstrom
-2.003 -0.513 2.821
6.138 -8.533 4.974
3.316 1.613 4.813
ATOMIC_POSITIONS angstrom
Dy 0.867 -0.901 4.788
Dy 6.584 -6.531 7.821
Er 0.000 0.000 0.000
Er 3.293 -3.273 3.910
Er 4.158 -4.160 8.698
Tm 3.738 -1.286 6.755
Tm 3.713 -6.147 5.853
```



This record from Alexandria via LeMat-Bulk describes an optimized crystal structure of Dy2YErSe4. The functional is GGA-PBE. Values from VASP.

Properties
E_form (uncorrected) in meV/atom: -1736
DFT total energy in eV per atom: -6.007

```
&SYSTEM
  ibrav = 0, nat = 8, ntyp = 4
/
ATOMIC_SPECIES
Dy 162.50 Dy.upf
Y 88.91 Y.upf
Er 167.26 Er.upf
Se 78.96 Se.upf
CELL_PARAMETERS angstrom
4.022 0.000 0.000
0.000 7.057 -0.169
0.000 2.457 6.648
ATOMIC_POSITIONS angstrom
Dy 0.000 2.457 6.648
Dy 2.011 1.229 3.324
Y 2.011 3.529 -0.085
Er 0.000 4.757 3.239
Se 0.000 7.127 4.845
Se 4.022 2.387 1.633
Se 2.011 5.899 1.555
Se 2.011 3.615 4.924
```



This record from Alexandria via LeMat-Bulk describes an optimized crystal structure of LaTeAs2Se. The functional is GGA-PBE. Values from VASP.

Properties
E above lowest polymorph in kJ/mol of atoms: 51.4
E_form (uncorrected) in meV/atom: 463
DFT total energy in eV per atom: -3.707

```
&SYSTEM
  ibrav = 0, nat = 5, ntyp = 4
/
ATOMIC_SPECIES
As 74.92 As.upf
Te 127.60 Te.upf
Se 78.96 Se.upf
La 138.91 La.upf
CELL_PARAMETERS angstrom
5.810 0.000 0.000
0.000 5.810 0.000
0.000 0.000 5.533
ATOMIC_POSITIONS angstrom
As 0.000 2.905 0.000
As 2.905 0.000 0.000
Te 2.905 2.905 2.767
Se 0.000 0.000 2.767
La 0.000 0.000 0.000
```



This record from Alexandria via LeMat-Bulk describes an optimized crystal structure of Np2NiIr. The functional is GGA-PBE. Values from VASP.

Properties
Energy of formation from the pure elements in eV per formula unit: 1.0
DFT total energy in eV per atom: -9.892

```
&SYSTEM
  ibrav = 0, nat = 4, ntyp = 3
/
ATOMIC_SPECIES
Np 237.00 Np.upf
Ni 58.69 Ni.upf
Ir 192.22 Ir.upf
CELL_PARAMETERS angstrom
2.800 0.000 0.000
1.400 2.424 0.000
1.400 0.808 10.250
ATOMIC_POSITIONS angstrom
Np 1.400 0.808 7.661
Np 4.199 2.424 2.589
Ni 0.000 0.000 0.000
Ir 2.800 1.616 5.125
```



This record from Alexandria via LeMat-Bulk describes an optimized crystal structure of YTa3Sn. The functional is GGA-PBE. Values from VASP.

Properties
Energy of formation from the pure elements in eV per formula unit: 7.4
E above lowest polymorph in kJ/mol of atoms: 0.0
DFT total energy in eV per atom: -7.725

```
&SYSTEM
  ibrav = 0, nat = 5, ntyp = 3
/
ATOMIC_SPECIES
Y 88.91 Y.upf
Sn 118.71 Sn.upf
Ta 180.95 Ta.upf
CELL_PARAMETERS angstrom
-1.090 3.172 -3.829
-2.630 -3.695 -2.312
-4.220 1.483 2.430
ATOMIC_POSITIONS angstrom
Y -3.970 0.480 -1.856
Sn 0.000 0.000 0.000
Ta -1.315 -1.847 -1.156
Ta -2.110 0.742 1.215
Ta -0.545 1.586 -1.915
```



This record from Alexandria via LeMat-Bulk describes an optimized crystal structure of PrHg2Br8. The functional is GGA-PBE. Values from VASP.

Properties
E_form (uncorrected) in meV/atom: -805
DFT total energy in eV per atom: -2.511

```
&SYSTEM
  ibrav = 0, nat = 11, ntyp = 3
/
ATOMIC_SPECIES
Pr 140.91 Pr.upf
Hg 200.59 Hg.upf
Br 79.90 Br.upf
CELL_PARAMETERS angstrom
6.809 -1.084 -0.757
-0.250 8.526 0.351
-0.250 3.264 7.885
ATOMIC_POSITIONS angstrom
Pr 0.000 0.000 0.000
Hg 4.623 1.601 1.118
Hg 1.686 9.106 6.361
Br 1.303 3.143 5.370
Br 1.303 6.124 1.103
Br 5.006 7.564 2.109
Br 0.824 7.139 4.987
Br 5.006 4.583 6.376
Br 1.899 1.830 1.278
Br 4.410 8.877 6.201
Br 5.485 3.568 2.492
```



This record from Alexandria via LeMat-Bulk describes an optimized crystal structure of LaHoLuTl. The functional is GGA-PBE. Values from VASP.

Properties
Energy of formation from the pure elements in eV per formula unit: -0.3
DFT total energy in eV per atom: -4.169

```
&SYSTEM
  ibrav = 0, nat = 4, ntyp = 4
/
ATOMIC_SPECIES
Tl 204.38 Tl.upf
Lu 174.97 Lu.upf
Ho 164.93 Ho.upf
La 138.91 La.upf
CELL_PARAMETERS angstrom
-2.045 -4.217 -2.937
3.027 -4.566 -0.760
-1.413 -4.708 2.535
ATOMIC_POSITIONS angstrom
Tl -0.108 -3.373 -0.291
Lu -0.323 -10.118 -0.872
Ho -0.215 -6.745 -0.581
La 0.000 0.000 0.000
```



This record from Alexandria via LeMat-Bulk describes an optimized crystal structure of CaBeNbGe2. The functional is GGA-PBE. Values from VASP.

Properties
Energy of formation from the pure elements in eV per formula unit: 4.6
DFT total energy in eV per atom: -4.081

```
&SYSTEM
  ibrav = 0, nat = 5, ntyp = 4
/
ATOMIC_SPECIES
Be 9.01 Be.upf
Nb 92.91 Nb.upf
Ca 40.08 Ca.upf
Ge 72.64 Ge.upf
CELL_PARAMETERS angstrom
-0.957 2.668 -4.132
4.106 -2.694 -2.689
-3.270 -3.490 -1.496
ATOMIC_POSITIONS angstrom
Be -0.060 -1.758 -4.159
Nb 0.000 0.000 0.000
Ca 2.053 -1.347 -1.345
Ge -1.635 -1.745 -0.748
Ge -0.478 1.334 -2.066
```